# TbY2Se4 (PBE, relaxed)
data_TbY2Se4
_chemical_formula_sum 'Tb4 Y8 Se16'
_cell_length_a 3.977
_cell_length_b 13.471
_cell_length_c 13.818
_cell_angle_alpha 90.00
_cell_angle_beta 90.00
_cell_angle_gamma 90.00
_space_group_name_H-M_alt 'C m c m'
_space_group_IT_number 63
_space_group_name_Hall '-C 2c 2'
loop_
_atom_site_label
_atom_site_fract_x
_atom_site_fract_y
_atom_site_fract_z
Tb1 0.000 0.127 0.250
Y1 0.000 0.370 0.070
Se1 0.000 0.000 0.000
Se2 0.000 0.277 0.622
Se3 0.000 0.471 0.250
# crystal system = orthorhombic
# magnetic moment = 0.00 μB per atom
# uncorrected formation energy = -1.85 eV/atom
# energy above the lowest structure with this stoichiometry = 0 kJ/mol of formula units



# Sc2BeW (PBE, relaxed)
data_Sc2BeW
_chemical_formula_sum 'Sc8 Be4 W4'
_cell_length_a 6.459
_cell_length_b 6.459
_cell_length_c 6.459
_cell_angle_alpha 90.00
_cell_angle_beta 90.00
_cell_angle_gamma 90.00
_space_group_name_H-M_alt 'F -4 3 m'
_space_group_IT_number 216
_space_group_name_Hall 'F -4 2 3'
loop_
_atom_site_label
_atom_site_fract_x
_atom_site_fract_y
_atom_site_fract_z
Sc1 0.000 0.000 0.000
Sc2 0.250 0.250 0.250
Be1 0.250 0.250 0.750
W1 0.000 0.000 0.500
# E = -6.9028 eV/atom
# crystal system = cubic
# magnetic moment = 0.00 μB per atom



# Cd2BBrO (PBE, relaxed)
data_Cd2BBrO
_chemical_formula_sum 'Cd2 B1 Br1 O1'
_cell_length_a 4.588
_cell_length_b 4.588
_cell_length_c 4.861
_cell_angle_alpha 90.00
_cell_angle_beta 90.00
_cell_angle_gamma 90.00
_space_group_name_H-M_alt 'P 4/m m m'
_space_group_IT_number 123
_space_group_name_Hall '-P 4 2'
loop_
_atom_site_label
_atom_site_fract_x
_atom_site_fract_y
_atom_site_fract_z
Cd1 0.000 0.500 0.000
B1 0.000 0.000 0.500
Br1 0.500 0.500 0.500
O1 0.000 0.000 0.000
# crystal system = tetragonal
# magnetic moment = 0.00 μB per atom
# uncorrected formation energy = 0.56 eV/atom



# Li2HfNbN4 (PBE, relaxed)
data_Li2HfNbN4
_chemical_formula_sum 'Li8 Hf4 Nb4 N16'
_cell_length_a 6.259
_cell_length_b 6.371
_cell_length_c 8.926
_cell_angle_alpha 90.00
_cell_angle_beta 90.00
_cell_angle_gamma 90.00
_space_group_name_H-M_alt 'I m m a'
_space_group_IT_number 74
_space_group_name_Hall '-I 2b 2'
loop_
_atom_site_label
_atom_site_fract_x
_atom_site_fract_y
_atom_site_fract_z
Li1 0.000 0.000 0.000
Li2 0.250 0.250 0.250
Hf1 0.000 0.000 0.500
Nb1 0.250 0.250 0.750
N1 0.000 0.023 0.744
N2 0.234 0.250 0.514
# crystal system = orthorhombic
# magnetic moment = 0.00 μB per atom
# uncorrected formation energy = -0.91 eV/atom



# Zn2CdTe (PBE, relaxed)
data_Zn2CdTe
_chemical_formula_sum 'Zn2 Cd1 Te1'
_cell_length_a 4.339
_cell_length_b 3.939
_cell_length_c 5.852
_cell_angle_alpha 90.00
_cell_angle_beta 104.46
_cell_angle_gamma 90.00
_space_group_name_H-M_alt 'P 1 2/m 1'
_space_group_IT_number 10
loop_
_space_group_symop_operation_xyz
'x,y,z'
'-x,-y,-z'
'-x,y,-z'
'x,-y,z'
loop_
_atom_site_label
_atom_site_fract_x
_atom_site_fract_y
_atom_site_fract_z
Zn1 0.171 0.000 0.215
Cd1 0.500 0.500 0.000
Te1 0.000 0.500 0.500
# crystal system = monoclinic
# magnetic moment = 0.00 μB per atom
# uncorrected formation energy = 0.05 eV/atom
# energy above the lowest structure with this stoichiometry = 15 kJ/mol of formula units



# La3NdO4 (PBE, relaxed)
data_La3NdO4
_chemical_formula_sum 'La6 Nd2 O8'
_cell_length_a 6.303
_cell_length_b 7.207
_cell_length_c 6.298
_cell_angle_alpha 90.00
_cell_angle_beta 109.31
_cell_angle_gamma 90.00
_space_group_name_H-M_alt 'P 1 2/c 1'
_space_group_IT_number 13
loop_
_space_group_symop_operation_xyz
'x,y,z'
'-x,-y,-z'
'-x,y,-z+1/2'
'x,-y,z+1/2'
loop_
_atom_site_label
_atom_site_fract_x
_atom_site_fract_y
_atom_site_fract_z
La1 0.000 0.125 0.250
La2 0.000 0.375 0.750
La3 0.500 0.125 0.750
Nd1 0.500 0.375 0.250
O1 0.254 0.128 0.003
O2 0.256 0.378 0.501
# crystal system = monoclinic
# magnetic moment = 0.00 μB per atom
# uncorrected formation energy = -2.83 eV/atom
# energy above the lowest structure with this stoichiometry = 0 kJ/mol of formula units



# AlAgPd2Cl (PBE, relaxed)
data_AlAgPd2Cl
_chemical_formula_sum 'Al1 Ag1 Pd2 Cl1'
_cell_length_a 4.633
_cell_length_b 4.633
_cell_length_c 4.974
_cell_angle_alpha 90.00
_cell_angle_beta 90.00
_cell_angle_gamma 90.00
_space_group_name_H-M_alt 'P 4/m m m'
_space_group_IT_number 123
_space_group_name_Hall '-P 4 2'
loop_
_atom_site_label
_atom_site_fract_x
_atom_site_fract_y
_atom_site_fract_z
Al1 0.000 0.000 0.000
Ag1 0.000 0.000 0.500
Pd1 0.000 0.500 0.000
Cl1 0.500 0.500 0.500
# crystal system = tetragonal
# magnetic moment = 0.00 μB per atom
# uncorrected formation energy = 0.25 eV/atom
# energy above the lowest structure with this stoichiometry = 42 kJ/mol of formula units



# Hf5Si3 (PBE, relaxed)
data_Hf5Si3
_chemical_formula_sum 'Hf10 Si6'
_cell_length_a 7.8925
_cell_length_b 7.8925
_cell_length_c 5.4934
_cell_angle_alpha 90.00
_cell_angle_beta 90.00
_cell_angle_gamma 120.00
_space_group_name_H-M_alt 'P 63/m c m'
_space_group_IT_number 193
_space_group_name_Hall '-P 6c 2'
loop_
_atom_site_label
_atom_site_fract_x
_atom_site_fract_y
_atom_site_fract_z
Hf1 0.0000 0.2527 0.2500
Hf2 0.3333 0.6667 0.0000
Si1 0.0000 0.3904 0.7500
# crystal system = hexagonal
# magnetic moment = 0.00 μB per atom
# uncorrected formation energy = -0.75 eV/atom
# energy above the lowest structure with this stoichiometry = 0 kJ/mol of formula units



# SrLiMo (PBE, relaxed)
data_SrLiMo
_chemical_formula_sum 'Sr2 Li2 Mo2'
_cell_length_a 2.930
_cell_length_b 3.995
_cell_length_c 11.396
_cell_angle_alpha 90.00
_cell_angle_beta 90.00
_cell_angle_gamma 90.00
_space_group_name_H-M_alt 'I m m 2'
_space_group_IT_number 44
loop_
_space_group_symop_operation_xyz
'x,y,z'
'-x,-y,z'
'-x,y,z'
'x,-y,z'
'x+1/2,y+1/2,z+1/2'
'-x+1/2,-y+1/2,z+1/2'
'-x+1/2,y+1/2,z+1/2'
'x+1/2,-y+1/2,z+1/2'
loop_
_atom_site_label
_atom_site_fract_x
_atom_site_fract_y
_atom_site_fract_z
Sr1 0.000 0.000 0.000
Li1 0.000 0.000 0.298
Mo1 0.000 0.000 0.696
# crystal system = orthorhombic
# magnetic moment = 0.00 μB per atom
# energy above the lowest structure with this stoichiometry = 167 kJ/mol of formula units



# ZrGa2Rh (PBE, relaxed)
data_ZrGa2Rh
_chemical_formula_sum 'Zr4 Ga8 Rh4'
_cell_length_a 6.413
_cell_length_b 6.413
_cell_length_c 6.413
_cell_angle_alpha 90.00
_cell_angle_beta 90.00
_cell_angle_gamma 90.00
_space_group_name_H-M_alt 'F m -3 m'
_space_group_IT_number 225
_space_group_name_Hall '-F 4 2 3'
loop_
_atom_site_label
_atom_site_fract_x
_atom_site_fract_y
_atom_site_fract_z
Zr1 0.000 0.000 0.000
Ga1 0.250 0.250 0.250
Rh1 0.000 0.000 0.500
# E = -5.9691 eV/atom
# crystal system = cubic
# magnetic moment = 0.00 μB per atom



# Ca4In3Ge (PBE, relaxed)
data_Ca4In3Ge
_chemical_formula_sum 'Ca4 In3 Ge1'
_cell_length_a 3.783
_cell_length_b 3.783
_cell_length_c 15.420
_cell_angle_alpha 90.00
_cell_angle_beta 90.00
_cell_angle_gamma 90.00
_space_group_name_H-M_alt 'P 4/m m m'
_space_group_IT_number 123
_space_group_name_Hall '-P 4 2'
loop_
_atom_site_label
_atom_site_fract_x
_atom_site_fract_y
_atom_site_fract_z
Ca1 0.000 0.000 0.113
Ca2 0.000 0.000 0.371
In1 0.500 0.500 0.245
In2 0.500 0.500 0.500
Ge1 0.500 0.500 0.000
# E = -3.0732 eV/atom
# crystal system = tetragonal
# magnetic moment = 0.00 μB per atom



# CrIn2Pt (PBE, relaxed)
data_CrIn2Pt
_chemical_formula_sum 'Cr1 In2 Pt1'
_cell_length_a 3.214
_cell_length_b 3.292
_cell_length_c 7.025
_cell_angle_alpha 90.00
_cell_angle_beta 90.00
_cell_angle_gamma 90.00
_space_group_name_H-M_alt 'P m m m'
_space_group_IT_number 47
loop_
_space_group_symop_operation_xyz
'x,y,z'
'-x,-y,-z'
'-x,-y,z'
'x,y,-z'
'x,-y,-z'
'-x,y,z'
'-x,y,-z'
'x,-y,z'
loop_
_atom_site_label
_atom_site_fract_x
_atom_site_fract_y
_atom_site_fract_z
Cr1 0.000 0.000 0.000
In1 0.500 0.500 0.258
Pt1 0.000 0.000 0.500
# E = -5.2797 eV/atom
# crystal system = orthorhombic
# magnetic moment = 0.89 μB per atom